[1]
The following is a PBE-GGA calculation of a relaxed Sc4PC crystal, from Alexandria via LeMat-Bulk.

```
Sc4PC
1.0
-2.742 2.021 4.846
-4.374 -1.510 -4.125
3.363 -6.470 2.121
Sc P C
8 2 2
direct
0.289 0.000 0.618
0.047 0.828 0.108
0.171 0.382 0.382
0.439 0.720 0.892
0.711 0.000 0.382
0.829 0.618 0.618
0.953 0.172 0.892
0.561 0.280 0.108
0.334 0.584 0.168
0.666 0.416 0.832
0.815 0.065 0.130
0.185 0.935 0.870
```

Output
Space group: C2/c, No. 15
Formation energy from the elements in kJ per mole of atoms: -66

[2]
The following is a PBE-GGA calculation of a relaxed CaGeH3 crystal, from Alexandria via LeMat-Bulk.

```
CaGeH3
1.0
4.093 0.000 0.000
0.000 4.093 0.000
0.000 0.000 4.093
H Ge Ca
3 1 1
direct
0.000 0.500 0.000
0.000 0.000 0.500
0.500 0.000 0.000
0.500 0.500 0.500
0.000 0.000 0.000
```

Output
Space group: Pm-3m, No. 221
Energy relative to the lowest polymorph listed for this composition in meV/atom: 184

Number 1: total moment 0.00 μB per formula unit. Number 2: total moment 0.00 μB per formula unit.